First-principles (meta-GGA SCAN) data for Lu2AlSi2 at its PBEsol-relaxed geometry, as listed in Alexandria via LeMat-Bulk.

Structure (POSCAR):
```
Lu2AlSi2
1.0
-3.9899 -0.3041 -0.1932
-1.5431 -4.4526 -2.6580
-1.8311 -4.1950 2.8846
Si Lu Al
2 2 1
Direct
0.5000 0.2883 0.7117
0.5000 0.7117 0.2883
0.7901 0.7099 0.7099
0.2099 0.2901 0.2901
0.0000 0.0000 0.0000
```

SG: Immm, No. 71
Electronic total energy in eV/atom: -28.412
Calculated density in g/cm³: 7.71
ΔE_f (raw) in eV per atom: -0.718

=====

First-principles (meta-GGA SCAN) data for KBa3 at its PBEsol-relaxed geometry, as listed in Alexandria via LeMat-Bulk.

Structure (POSCAR):
```
KBa3
1.0
4.3862 0.0000 0.0000
2.1931 3.7986 0.0000
2.1931 1.2662 14.7787
K Ba
1 3
Direct
0.0000 0.0000 0.0000
0.7529 0.7529 0.7413
0.5000 0.5000 0.5000
0.2471 0.2471 0.2587
```

SG: R-3m, No. 166
Offset from the most stable computed form in meV/atom: 16.3
Electronic total energy in eV/atom: -31.680
Calculated density in g/cm³: 3.04
Energy of formation from the pure elements in eV/atom: 0.07

=====

First-principles (meta-GGA SCAN) data for TiAgAs2Br at its PBEsol-relaxed geometry, as listed in Alexandria via LeMat-Bulk.

Structure (POSCAR):
```
TiAgAs2Br
1.0
4.8467 0.0000 0.0000
0.0000 4.8467 0.0000
0.0000 0.0000 5.0159
As Br Ag Ti
2 1 1 1
Direct
0.0000 0.5000 0.0000
0.5000 0.0000 0.0000
0.0000 0.0000 0.5000
0.5000 0.5000 0.5000
0.0000 0.0000 0.0000
```

SG: P4/mmm, No. 123
Offset from the most stable computed form in meV/atom: 0.0
Electronic total energy in eV/atom: -21.363
Calculated density in g/cm³: 5.43
ΔE_f (raw) in eV per atom: 0.085

=====

First-principles (meta-GGA SCAN) data for AlVO4 at its PBEsol-relaxed geometry, as listed in Alexandria via LeMat-Bulk.

Structure (POSCAR):
```
AlVO4
1.0
-1.7913 6.2193 -0.9543
-3.0991 -1.4540 6.9541
8.6955 0.0822 2.8153
Al V O
6 6 24
Direct
0.7494 0.6997 0.4082
0.2506 0.3003 0.5918
0.4611 0.8828 0.2099
0.5389 0.1172 0.7901
0.9624 0.3073 0.0071
0.0376 0.6927 0.9929
0.0029 0.9951 0.2550
0.9971 0.0049 0.7450
0.1962 0.6017 0.3432
0.8038 0.3983 0.6568
0.5169 0.3008 0.1242
0.4831 0.6992 0.8758
0.0490 0.8508 0.8538
0.9510 0.1492 0.1462
0.8431 0.1319 0.8248
0.1569 0.8681 0.1752
0.9501 0.4767 0.8577
0.0499 0.5233 0.1423
0.7477 0.7029 0.9680
0.2523 0.2971 0.0320
0.6461 0.2738 0.9764
0.3539 0.7262 0.0236
0.4776 0.8814 0.7857
0.5224 0.1186 0.2143
0.6417 0.4911 0.2537
0.3583 0.5089 0.7463
0.2562 0.4366 0.4352
0.7438 0.5634 0.5648
0.0421 0.7027 0.4236
0.9579 0.2973 0.5764
0.1581 0.0988 0.4318
0.8419 0.9012 0.5682
0.4576 0.7429 0.3620
0.5424 0.2571 0.6380
0.7508 0.8647 0.2630
0.2492 0.1353 0.7370
```

SG: P-1, No. 2
Electronic total energy in eV/atom: -11.250
Calculated density in g/cm³: 3.31
ΔE_f (raw) in eV per atom: -2.889

=====

First-principles (meta-GGA SCAN) data for LaAlCl2 at its PBEsol-relaxed geometry, as listed in Alexandria via LeMat-Bulk.

Structure (POSCAR):
```
LaAlCl2
1.0
-1.1302 1.6684 2.8709
-2.2016 -2.1044 -1.7400
2.7883 -7.3621 5.3761
Cl Al La
2 1 1
Direct
0.0000 0.0000 0.2672
0.0000 0.0000 0.7328
0.5000 0.5000 0.0000
0.5000 0.5000 0.5000
```

SG: Cmmm, No. 65
Offset from the most stable computed form in meV/atom: 196.9
Electronic total energy in eV/atom: -17.741
Calculated density in g/cm³: 3.84
ΔE_f (raw) in eV per atom: -1.038

=====

First-principles (meta-GGA SCAN) data for BaTe2W at its PBEsol-relaxed geometry, as listed in Alexandria via LeMat-Bulk.

Structure (POSCAR):
```
BaTe2W
1.0
3.6689 0.0000 0.0000
0.0000 5.3723 0.0000
0.0000 0.0000 5.3723
Ba Te W
1 2 1
Direct
0.5000 0.0000 0.0000
0.0000 0.0000 0.5000
0.0000 0.5000 0.0000
0.5000 0.5000 0.5000
```

SG: P4/mmm, No. 123
Electronic total energy in eV/atom: -45.583
Calculated density in g/cm³: 9.04
ΔE_f (raw) in eV per atom: 0.352

=====

Which of these has the highest electronic total energy?
AlVO4

=====

Which of these has the lowest calculated density?
KBa3

=====

The lowest electronic total energy belongs to which entry?
BaTe2W

=====

Which of these has the highest electronic total energy?
AlVO4